1.
The following is a PBE-GGA calculation of an optimized crystal structure of YCo4B4, from the Open Quantum Materials Database.

**Raw total energy**: -132.43 eV for the cell shown

abc: 6.9495 6.9495 3.8106
angles: 90.00 90.00 90.00
Space group P4_2/n (No. 86, origin choice 2)
One atom of each set of equivalent atoms:
Y 0.2500 0.2500 0.2500 (multiplicity 2)
Co 0.1084 0.6319 0.1411 (multiplicity 8)
B 0.0492 0.9129 0.1445 (multiplicity 8)



2.
The following is a PBE-GGA calculation of an optimized crystal structure of YCuReB, from the Open Quantum Materials Database.

**Raw total energy**: -101.18 eV for the cell shown

abc: 6.1966 6.1966 6.1966
angles: 90.00 90.00 90.00
Space group F-43m (No. 216)
One atom of each set of equivalent atoms:
Y 0.0000 0.0000 0.0000 (multiplicity 4)
Cu 0.2500 0.2500 0.7500 (multiplicity 4)
Re 0.2500 0.2500 0.2500 (multiplicity 4)
B 0.0000 0.0000 0.5000 (multiplicity 4)



3.
The following is a PBE-GGA calculation of an optimized crystal structure of La2Dy2CBr5, from the Open Quantum Materials Database.

**Raw total energy**: -102.29 eV for the cell shown

abc: 18.1774 3.8795 8.2542
angles: 90.00 103.91 90.00
Space group C2/m (No. 12)
One atom of each set of equivalent atoms:
La 0.1464 0.0000 0.0794 (multiplicity 4)
Dy 0.0006 0.5000 0.8003 (multiplicity 4)
C 0.0000 0.0000 0.0000 (multiplicity 2)
Br 0.0000 0.0000 0.5000 (multiplicity 2)
Br 0.1589 0.5000 0.3618 (multiplicity 4)
Br 0.1640 0.5000 0.8053 (multiplicity 4)



| no. | distance to the lowest polymorph of the same formula (meV per atom) |
| --- | --- |
| 1 | 0.0 |
| 2 | 0.0 |
| 3 | 2.7 |